(1)
CuAg2AsC, relaxed, DFT GGA-PBE; energy relative to the elements = 1.714 eV/atom; space-group type = P4/mmm, No. 123
1.0
-1.436 1.963 -4.239
3.168 -2.153 -2.069
-3.029 -3.768 -0.718
C As Cu Ag
1 1 1 2
direct
0.500 0.500 0.500
0.000 0.500 0.000
0.000 0.000 0.000
0.000 0.000 0.500
0.500 0.000 0.000

---

(2)
AgAsC2F, relaxed, DFT GGA-PBE; space-group type = P4/mmm, No. 123; uncorrected formation energy = 2.251 eV per atom
1.0
4.085 0.000 0.000
0.000 4.171 0.000
0.000 0.000 4.085
As C Ag F
1 2 1 1
direct
0.000 0.500 0.000
0.000 0.000 0.500
0.500 0.000 0.000
0.500 0.500 0.500
0.000 0.000 0.000

---

The evaluated ρ for the records listed, in turn: 5.85; 5.39 g cm⁻³.